Density functional theory data (SCAN) for a PBEsol-optimized structure of KMoP2.

## Properties
Total energy, eV/cell: -64.10
Formation energy, kJ/mol of atoms: -2
Space-group type: P4mm
Calculated volume, Å³/atom: 21.98
Distance to the lowest polymorph of the same formula, meV/atom: 246.8

Lattice parameters (Å, degrees): 3.2610 3.2610 8.2664 90.00 90.00 90.00
Closest atoms and distances in Å follow each position.
Element x y z (fractional)
K: 0.0000 0.0000 0.0000  5 P 3.06-3.18, 4 K 3.26
Mo: 0.5000 0.5000 0.4683  5 P 2.20-2.44
P: 0.0000 0.0000 0.3708  4 Mo 2.44
P: 0.5000 0.5000 0.7349  1 Mo 2.20